Entry 1:
# CaNiBr2N

A geometry-optimized CaNiBr2N structure (PBE, Alexandria via LeMat-Bulk).

It has space group P4/mmm (No. 123), with a = 5.614 Å, b = 5.614 Å, c = 5.842 Å, α = 90.00°, β = 90.00° and γ = 90.00°. Symmetry generates all atoms from Ca at (0.000, 0.000, 0.000), Ni at (0.000, 0.000, 0.500), Br at (0.000, 0.500, 0.000) and N at (0.500, 0.500, 0.500).

The uncorrected formation energy is 856 meV per atom. The uncorrected energy comes out at -15.18 eV/cell. Its offset from the most stable computed form is 115.5 kJ/mol of atoms.

=====

Entry 2:
# PrSm

A geometry-optimized PrSm structure (PBE, Alexandria via LeMat-Bulk).

It has space group Pm-3m (No. 221), with a = 4.132 Å, b = 4.132 Å, c = 4.132 Å, α = 90.00°, β = 90.00° and γ = 90.00°. Symmetry generates all atoms from Pr at (0.000, 0.000, 0.000) and Sm at (0.500, 0.500, 0.500).

The uncorrected energy comes out at -9.23 eV/cell. For the formation energy, the calculation gives 0.14 eV/atom. Its offset from the most stable computed form is 9.9 kJ/mol of atoms.

=====

Entry 3:
# Pr4Pd3Au

A geometry-optimized Pr4Pd3Au structure (PBE, Alexandria via LeMat-Bulk).

It has space group Pmm2 (No. 25), with a = 3.932 Å, b = 4.742 Å, c = 11.018 Å, α = 90.00°, β = 90.00° and γ = 90.00°. Symmetry generates all atoms from Pr at (0.000, 0.000, 0.000), Pr at (0.000, 0.500, 0.268), Pr at (0.500, 0.000, 0.489), Pr at (0.500, 0.500, 0.770), Pd at (0.000, 0.500, 0.546), Pd at (0.500, 0.000, 0.217), Pd at (0.500, 0.500, 0.047) and Au at (0.000, 0.000, 0.715).

The uncorrected energy comes out at -44.25 eV/cell. For the formation energy, the calculation gives -0.78 eV/atom.

=====

Entry 4:
# In2GaC

A geometry-optimized In2GaC structure (PBE, Alexandria via LeMat-Bulk).

It has space group I-42d (No. 122), with a = 6.196 Å, b = 6.196 Å, c = 9.504 Å, α = 90.00°, β = 90.00° and γ = 90.00°. Symmetry generates all atoms from In at (0.165, 0.250, 0.125), Ga at (0.000, 0.000, 0.500) and C at (0.000, 0.000, 0.000).

The uncorrected energy comes out at -58.92 eV/cell. For the formation energy, the calculation gives 0.75 eV/atom.